Record 1
Material: CaHgPCl2
Method: DFT, PBE
State: relaxed

Cell lengths 5.2377, 5.2377, 6.1060 Å; angles 90.00, 90.00, 90.00 degrees
Site moments in Bohr magnetons follow the coordinates.
Atoms (fractional coordinates):
P1 0.0000 0.0000 0.5000  0.85
Ca1 0.0000 0.0000 0.0000  0.01
Hg1 0.5000 0.5000 0.5000  -0.02
Cl1 0.0000 0.5000 0.0000  0.05
Cl2 0.5000 0.0000 0.0000  0.05

Calculated values
Symmetry ... No. 123
E above lowest polymorph ... 0 meV/atom
Formation energy without anion corrections ... -575 meV per atom

Record 2
Material: CaHgPCl2
Method: DFT, PBE
State: relaxed

Cell lengths 5.3551, 5.3551, 5.0170 Å; angles 90.00, 90.00, 90.00 degrees
Site moments in Bohr magnetons follow the coordinates.
Atoms (fractional coordinates):
P1 0.0000 0.0000 0.5000  0.31
Ca1 0.5000 0.5000 0.5000  0.00
Hg1 0.0000 0.0000 0.0000  0.02
Cl1 0.0000 0.5000 0.0000  0.04
Cl2 0.5000 0.0000 0.0000  0.04

Calculated values
Symmetry ... No. 123
E above lowest polymorph ... 231 meV/atom
Formation energy without anion corrections ... -344 meV per atom

Record 3
Material: Ca2HgPbCl8
Method: DFT, PBE
State: relaxed

Cell lengths 6.6168, 6.3730, 8.4641 Å; angles 90.00, 90.00, 89.77 degrees
Atoms (fractional coordinates):
Ca1 0.5000 0.5000 0.7574
Ca2 0.5000 0.5000 0.2426
Hg1 0.0000 0.0000 0.0000
Pb1 0.0000 0.0000 0.5000
Cl1 0.1681 0.7709 0.2337
Cl2 0.6678 0.7264 0.0000
Cl3 0.8319 0.2291 0.2337
Cl4 0.8319 0.2291 0.7663
Cl5 0.3322 0.2736 0.0000
Cl6 0.1681 0.7709 0.7663
Cl7 0.6574 0.7146 0.5000
Cl8 0.3426 0.2854 0.5000

Calculated values
Symmetry ... No. 10
Formation energy without anion corrections ... -1608 meV per atom

Record 4
Material: Ca2HgPtCl
Method: DFT, PBE
State: relaxed

Cell lengths 5.5305, 5.2222, 5.5305 Å; angles 90.00, 90.00, 90.00 degrees
Atoms (fractional coordinates):
Ca1 0.0000 0.0000 0.5000
Ca2 0.5000 0.0000 0.0000
Hg1 0.0000 0.5000 0.0000
Pt1 0.0000 0.0000 0.0000
Cl1 0.5000 0.5000 0.5000

Calculated values
Symmetry ... No. 123
Formation energy without anion corrections ... -786 meV per atom

Record 5
Material: RbCaHg2Cl8
Method: DFT, PBE
State: relaxed

Cell lengths 6.6998, 6.6998, 9.8607 Å; angles 90.00, 90.00, 120.00 degrees
Site moments in Bohr magnetons follow the coordinates.
Atoms (fractional coordinates):
Rb1 0.0000 0.0000 0.0000  0.00
Ca1 0.0000 0.0000 0.5000  0.00
Hg1 0.6667 0.3333 0.2570  0.02
Hg2 0.3333 0.6667 0.7430  0.02
Cl1 0.3333 0.6667 0.9994  0.17
Cl2 0.3018 0.3314 0.3237  0.03
Cl3 0.6686 0.9704 0.3237  0.03
Cl4 0.6667 0.3333 0.0006  0.17
Cl5 0.3314 0.0296 0.6763  0.03
Cl6 0.6982 0.6686 0.6763  0.03
Cl7 0.9704 0.3018 0.6763  0.03
Cl8 0.0296 0.6982 0.3237  0.03

Calculated values
Symmetry ... No. 147
Formation energy without anion corrections ... -1119 meV per atom

Record 6
Material: RbCa2HgCl8
Method: DFT, PBE
State: relaxed

Cell lengths 6.7216, 6.3293, 8.8010 Å; angles 89.99, 89.99, 85.76 degrees
Site moments in Bohr magnetons follow the coordinates.
Atoms (fractional coordinates):
Rb1 0.0000 0.0000 0.5000  0.00
Ca1 0.5000 0.5000 0.7709  0.00
Ca2 0.5000 0.5000 0.2291  0.00
Hg1 0.0000 0.0000 0.0000  0.05
Cl1 0.1400 0.7401 0.2070  0.06
Cl2 0.6357 0.7453 0.0000  0.07
Cl3 0.8599 0.2598 0.2070  0.06
Cl4 0.8600 0.2599 0.7930  0.06
Cl5 0.3643 0.2547 0.0000  0.07
Cl6 0.1401 0.7402 0.7930  0.06
Cl7 0.5643 0.7342 0.5000  0.19
Cl8 0.4357 0.2658 0.5000  0.19

Calculated values
Symmetry ... No. 10
Formation energy without anion corrections ... -1559 meV per atom

Record 7
Material: CaRe2HgCl
Method: DFT, PBE
State: relaxed

Cell lengths 4.4449, 4.9918, 4.4449 Å; angles 90.00, 90.00, 90.00 degrees
Atoms (fractional coordinates):
Re1 0.0000 0.0000 0.5000
Re2 0.5000 0.0000 0.0000
Ca1 0.0000 0.5000 0.0000
Hg1 0.5000 0.5000 0.5000
Cl1 0.0000 0.0000 0.0000

Calculated values
Symmetry ... No. 123
Formation energy without anion corrections ... 1092 meV per atom

Record 8
Material: CaHgS2Cl
Method: DFT, PBE
State: relaxed

Cell lengths 5.5646, 5.5646, 5.2775 Å; angles 90.00, 90.00, 90.00 degrees
Site moments in Bohr magnetons follow the coordinates.
Atoms (fractional coordinates):
S1 0.0000 0.5000 0.0000  0.76
S2 0.5000 0.0000 0.0000  0.76
Ca1 0.0000 0.0000 0.0000  -0.01
Hg1 0.5000 0.5000 0.5000  0.20
Cl1 0.0000 0.0000 0.5000  0.09

Calculated values
Symmetry ... No. 123
E above lowest polymorph ... 166 meV/atom
Formation energy without anion corrections ... -320 meV per atom

Record 9
Material: CaHgS2Cl
Method: DFT, PBE
State: relaxed

Cell lengths 4.9859, 4.9859, 5.3331 Å; angles 90.00, 90.00, 90.00 degrees
Atoms (fractional coordinates):
S1 0.0000 0.5000 0.0000
S2 0.5000 0.0000 0.0000
Ca1 0.5000 0.5000 0.5000
Hg1 0.0000 0.0000 0.0000
Cl1 0.0000 0.0000 0.5000

Calculated values
Symmetry ... No. 123
E above lowest polymorph ... 0 meV/atom
Formation energy without anion corrections ... -486 meV per atom

Record 10
Material: Ca2TlHgCl8
Method: DFT, PBE
State: relaxed

Cell lengths 6.5688, 6.3420, 8.4697 Å; angles 90.00, 90.00, 90.18 degrees
Atoms (fractional coordinates):
Ca1 0.5000 0.5000 0.7569
Ca2 0.5000 0.5000 0.2431
Tl1 0.0000 0.0000 0.5000
Hg1 0.0000 0.0000 0.0000
Cl1 0.1701 0.7754 0.2360
Cl2 0.6703 0.7238 0.0000
Cl3 0.8299 0.2246 0.2360
Cl4 0.8299 0.2246 0.7640
Cl5 0.3297 0.2762 0.0000
Cl6 0.1701 0.7754 0.7640
Cl7 0.6658 0.7077 0.5000
Cl8 0.3342 0.2923 0.5000

Calculated values
Symmetry ... No. 10
Formation energy without anion corrections ... -1478 meV per atom

Record 11
Material: CaTl2HgCl6
Method: DFT, PBE
State: relaxed

Cell lengths 7.5569, 7.5572, 7.5238 Å; angles 59.87, 59.87, 60.01 degrees
Atoms (fractional coordinates):
Ca1 0.8159 0.8159 0.5522
Tl1 0.5421 0.5421 0.3737
Tl2 0.0461 0.0460 0.8619
Hg1 0.3146 0.3146 0.0563
Cl1 0.5827 0.1469 0.2772
Cl2 0.1469 0.9932 0.2771
Cl3 0.9932 0.5828 0.2770
Cl4 0.4900 0.6440 0.7799
Cl5 0.6440 0.0860 0.7800
Cl6 0.0861 0.4900 0.7799

Calculated values
Symmetry ... No. 146
Formation energy without anion corrections ... -1284 meV per atom

Record 12
Material: CaHg2WCl
Method: DFT, PBE
State: relaxed

Cell lengths 5.4475, 4.5548, 5.4475 Å; angles 90.00, 90.00, 90.00 degrees
Atoms (fractional coordinates):
Ca1 0.5000 0.5000 0.5000
Hg1 0.0000 0.0000 0.5000
Hg2 0.5000 0.0000 0.0000
W1 0.0000 0.0000 0.0000
Cl1 0.0000 0.5000 0.0000

Calculated values
Symmetry ... No. 123
Formation energy without anion corrections ... 250 meV per atom

no.,calculated total energy (eV per atom)
1,-2.86
2,-2.63
3,-3.51
4,-3.22
5,-2.65
6,-3.23
7,-4.72
8,-2.80
9,-2.97
10,-3.26
11,-3.10
12,-3.23